# 1
Entry from the Alexandria database: a relaxed CaPbS2 crystal (GGA-PBE).

Size of the total moment, μB per cell: 0.00
Final energy, eV per atom: -4.72
Fermi-level density of states, states/eV/cell: 0.00

Geometry as extended XYZ:
```
4
Lattice="4.0527 0.0000 0.0000 2.0264 3.5097 0.0000 2.0264 1.1699 7.1875" Properties=species:S:1:pos:R:3 pbc="T T T"
S 2.0264 1.1699 5.2984
Ca 4.0527 2.3398 3.6266
Pb 6.0791 3.5097 7.1754
S 2.0264 1.1699 1.8683
```

# 2
Entry from the Alexandria database: a relaxed Pa3Co7B2 crystal (GGA-PBE).

Energy of formation from the pure elements, eV/atom: -0.3658
Size of the total moment, μB per cell: 0.00
Final energy, eV per atom: -8.00
Fermi-level density of states, states/eV/cell: 5.66

Geometry as extended XYZ:
```
12
Lattice="-0.6507 3.7550 -0.6115 -3.8247 -0.7401 -0.4744 0.3432 1.7961 10.6630" Properties=species:S:1:pos:R:3 pbc="T T T"
B -0.2940 0.2672 1.9533
Pa -1.2796 2.7447 6.0346
Pa -2.2377 1.5075 -0.5430
B -3.1875 0.7888 8.2352
Co -0.5740 0.5216 3.8137
Co 0.0000 0.0000 0.0000
Co -2.9075 0.5344 6.3748
Pa -2.8526 2.0663 3.5424
Co -2.2039 -0.1050 1.7002
Co -3.5133 2.6668 7.9325
Co -1.2775 1.1610 8.4883
Co -0.6189 2.1442 1.6445
```

# 3
Entry from the Alexandria database: a relaxed La2Ni3Sb4Au crystal (GGA-PBE).

Size of the total moment, μB per cell: 0.00
Final energy, eV per atom: -5.36
Fermi-level density of states, states/eV/cell: 3.81

Geometry as extended XYZ:
```
10
Lattice="-4.4391 -0.0521 1.2154 -0.7298 -3.5650 -2.8185 2.1620 -6.4666 7.6196" Properties=species:S:1:pos:R:3 pbc="T T T"
Sb 0.0000 0.0000 0.0000
Sb -0.8347 -4.1680 5.4882
Ni 1.0810 -3.2333 3.8098
Ni -0.3045 -5.7541 7.3571
Sb -2.5845 -1.8086 -0.8015
Au -1.5035 -5.0419 3.0083
La -1.6747 -1.6557 2.5279
Sb 0.4123 -4.1071 1.3299
Ni -0.1180 -2.5211 -0.5390
La 1.2523 -6.6195 4.2902
```

# 4
Entry from the Alexandria database: a relaxed Ba4TlAg crystal (GGA-PBE).

Energy of formation from the pure elements, eV/atom: 0.3819
Size of the total moment, μB per cell: 0.00
Final energy, eV per atom: -1.77
Fermi-level density of states, states/eV/cell: 9.65

Geometry as extended XYZ:
```
6
Lattice="0.0000 5.1734 5.1734 5.1734 0.0000 5.1734 5.1734 5.1734 0.0000" Properties=species:S:1:pos:R:3 pbc="T T T"
Tl 7.7602 7.7602 7.7602
Ba 6.4638 3.8831 6.4638
Ba 3.8831 6.4638 6.4638
Ba 6.4638 6.4638 3.8831
Ba 3.8831 3.8831 3.8831
Ag 0.0000 0.0000 0.0000
```